# LiSnGeAu, relaxed, DFT GGA-PBE
data_LiSnGeAu
_symmetry_space_group_name_H-M 'F -4 3 m'
_symmetry_Int_Tables_number 216
_symmetry_space_group_name_Hall 'F -4 2 3'
_cell_length_a 6.7918
_cell_length_b 6.7918
_cell_length_c 6.7918
_cell_angle_alpha 90.00
_cell_angle_beta 90.00
_cell_angle_gamma 90.00
loop_
_atom_site_label
_atom_site_type_symbol
_atom_site_fract_x
_atom_site_fract_y
_atom_site_fract_z
_atom_site_occupancy
Li1 Li 0.0000 0.0000 0.0000 1
Sn1 Sn 0.0000 0.0000 0.5000 1
Ge1 Ge 0.2500 0.2500 0.7500 1
Au1 Au 0.2500 0.2500 0.2500 1
# - Energy relative to the elements: -166 meV/atom
# - Calculated volume: 19.58 A^3/atom

---

# SrPaSnO6, relaxed, DFT GGA-PBE
data_SrPaSnO6
_symmetry_space_group_name_H-M 'P -3 1 c'
_symmetry_Int_Tables_number 163
_symmetry_space_group_name_Hall '-P 3 2c'
_cell_length_a 5.6750
_cell_length_b 5.6750
_cell_length_c 10.6963
_cell_angle_alpha 90.00
_cell_angle_beta 90.00
_cell_angle_gamma 120.00
loop_
_atom_site_label
_atom_site_type_symbol
_atom_site_fract_x
_atom_site_fract_y
_atom_site_fract_z
_atom_site_occupancy
Sr1 Sr 0.0000 0.0000 0.0000 1
Pa1 Pa 0.3333 0.6667 0.2500 1
Sn1 Sn 0.3333 0.6667 0.7500 1
O1 O 0.0095 0.3694 0.6437 1
# - Calculated volume: 16.57 A^3/atom
# - Uncorrected formation energy: -2147 kJ/mol of formula units

---

# Tl4PbW, relaxed, DFT GGA-PBE
data_Tl4PbW
_symmetry_space_group_name_H-M 'F -4 3 m'
_symmetry_Int_Tables_number 216
_symmetry_space_group_name_Hall 'F -4 2 3'
_cell_length_a 8.8691
_cell_length_b 8.8691
_cell_length_c 8.8691
_cell_angle_alpha 90.00
_cell_angle_beta 90.00
_cell_angle_gamma 90.00
loop_
_atom_site_label
_atom_site_type_symbol
_atom_site_fract_x
_atom_site_fract_y
_atom_site_fract_z
_atom_site_occupancy
Tl1 Tl 0.1246 0.1246 0.1246 1
Pb1 Pb 0.0000 0.0000 0.5000 1
W1 W 0.2500 0.2500 0.7500 1
# - Energy relative to the elements: 1035 meV/atom
# - Calculated volume: 29.07 A^3/atom

---

# CaAcAlCd, relaxed, DFT GGA-PBE
data_CaAcAlCd
_symmetry_space_group_name_H-M 'F -4 3 m'
_symmetry_Int_Tables_number 216
_symmetry_space_group_name_Hall 'F -4 2 3'
_cell_length_a 7.8509
_cell_length_b 7.8509
_cell_length_c 7.8509
_cell_angle_alpha 90.00
_cell_angle_beta 90.00
_cell_angle_gamma 90.00
loop_
_atom_site_label
_atom_site_type_symbol
_atom_site_fract_x
_atom_site_fract_y
_atom_site_fract_z
_atom_site_occupancy
Ca1 Ca 0.0000 0.0000 0.0000 1
Ac1 Ac 0.0000 0.0000 0.5000 1
Al1 Al 0.2500 0.2500 0.2500 1
Cd1 Cd 0.2500 0.2500 0.7500 1
# - Energy relative to the elements: -292 meV/atom
# - Calculated volume: 30.24 A^3/atom

---

# Al2NiOs, relaxed, DFT GGA-PBE
data_Al2NiOs
_symmetry_space_group_name_H-M 'P 4 m m'
_symmetry_Int_Tables_number 99
_cell_length_a 2.7623
_cell_length_b 2.7623
_cell_length_c 7.3193
_cell_angle_alpha 90.00
_cell_angle_beta 90.00
_cell_angle_gamma 90.00
loop_
_symmetry_equiv_pos_as_xyz
'x,y,z'
'-y,x,z'
'-x,-y,z'
'y,-x,z'
'-x,y,z'
'y,x,z'
'x,-y,z'
'-y,-x,z'
loop_
_atom_site_label
_atom_site_type_symbol
_atom_site_fract_x
_atom_site_fract_y
_atom_site_fract_z
_atom_site_occupancy
Al1 Al 0.0000 0.0000 0.0000 1
Al2 Al 0.5000 0.5000 0.3055 1
Ni1 Ni 0.0000 0.0000 0.5211 1
Os1 Os 0.5000 0.5000 0.7569 1
# - Energy relative to the elements: -80 meV/atom
# - Calculated volume: 13.96 A^3/atom

---

# BaCoSb2I, relaxed, DFT GGA-PBE
data_BaCoSb2I
_symmetry_space_group_name_H-M 'P 4/m m m'
_symmetry_Int_Tables_number 123
_symmetry_space_group_name_Hall '-P 4 2'
_cell_length_a 6.5973
_cell_length_b 6.5973
_cell_length_c 6.5063
_cell_angle_alpha 90.00
_cell_angle_beta 90.00
_cell_angle_gamma 90.00
loop_
_atom_site_label
_atom_site_type_symbol
_atom_site_fract_x
_atom_site_fract_y
_atom_site_fract_z
_atom_site_occupancy
Ba1 Ba 0.0000 0.0000 0.0000 1
Co1 Co 0.5000 0.5000 0.5000 1
Sb1 Sb 0.0000 0.5000 0.0000 1
I1 I 0.0000 0.0000 0.5000 1
# - Energy above the lowest structure with this stoichiometry: 1.508 eV per atom
# - Calculated volume: 56.64 A^3/atom
# - Uncorrected formation energy: 564 kJ/mol of formula units

---

Repeat the first record exactly.
# LiSnGeAu, relaxed, DFT GGA-PBE
data_LiSnGeAu
_symmetry_space_group_name_H-M 'F -4 3 m'
_symmetry_Int_Tables_number 216
_symmetry_space_group_name_Hall 'F -4 2 3'
_cell_length_a 6.7918
_cell_length_b 6.7918
_cell_length_c 6.7918
_cell_angle_alpha 90.00
_cell_angle_beta 90.00
_cell_angle_gamma 90.00
loop_
_atom_site_label
_atom_site_type_symbol
_atom_site_fract_x
_atom_site_fract_y
_atom_site_fract_z
_atom_site_occupancy
Li1 Li 0.0000 0.0000 0.0000 1
Sn1 Sn 0.0000 0.0000 0.5000 1
Ge1 Ge 0.2500 0.2500 0.7500 1
Au1 Au 0.2500 0.2500 0.2500 1
# - Energy relative to the elements: -166 meV/atom
# - Calculated volume: 19.58 A^3/atom

---

Q: Look up the calculated volume of the second one.
A: 16.57 A^3/atom